Entry 1:
An optimized crystal structure of Dy2Pa2Pt15, computed with PBE-GGA.

abc: 9.2887 9.2887 14.0547
angles: 90.00 90.00 120.00
Space group R-3m (No. 166, hexagonal axes)
Symmetry-distinct sites (fractional):
Dy1 0.0000 0.0000 0.1362
Pa1 0.0000 0.0000 0.3985
Pt1 0.0000 0.3149 0.5000
Pt2 0.0000 0.5000 0.0000
Pt3 0.0036 0.5018 0.6570

Results
Volume   350 Å³/f.u.
Energy relative to the elements   -15.68 kcal/mol of atoms
Uncorrected energy   -6.933 eV per atom
Magnetization   0.000 μB per formula unit

Entry 2:
An optimized crystal structure of DyPaPt2, computed with PBE-GGA.

abc: 3.9812 3.9812 21.0217
angles: 90.00 90.00 120.00
Space group R3m (No. 160, hexagonal axes)
Symmetry-distinct sites (fractional):
Dy1 0.0000 0.0000 0.0000
Pa1 0.0000 0.0000 0.1716
Pt1 0.0000 0.0000 0.5831
Pt2 0.0000 0.0000 0.7571

Results
Volume   96 Å³/f.u.
Energy relative to the elements   -23.66 kcal/mol of atoms
Uncorrected energy   -7.571 eV per atom
Magnetization   0.000 μB per formula unit
ΔE to the lowest computed polymorph   0.104 eV per atom

Entry 3:
An optimized crystal structure of DyPa2Pt3, computed with PBE-GGA.

abc: 11.4856 8.4887 12.6832
angles: 90.00 112.61 90.00
Space group C2/c (No. 15)
Symmetry-distinct sites (fractional):
Dy1 0.0824 0.1242 0.4154
Pa1 0.0829 0.3744 0.9180
Pa2 0.2494 0.1250 0.7464
Pt1 0.0000 0.1353 0.7500
Pt2 0.0000 0.3849 0.2500
Pt3 0.1642 0.3804 0.5848
Pt4 0.1731 0.1305 0.0870

Results
Volume   143 Å³/f.u.
Energy relative to the elements   -22.31 kcal/mol of atoms
Uncorrected energy   -7.920 eV per atom
Magnetization   0.000 μB per formula unit